VASP calculation (meta-GGA SCAN) on SrTcTe2 at its PBEsol-relaxed geometry.

Cell: 7.700 7.700 7.700 Å, 153.02 150.51 40.40°
Sites, in units of the cell vectors:
Sr (0.000, 0.000, 0.000)
Tc (0.242, 0.742, 0.500)
Te (0.378, 0.378, 0.000)
Te (0.674, 0.174, 0.500)

Computed properties:
The calculation puts the density of states at the Fermi level at 1.2 states/eV per cell. The total energy is -33.32 eV/atom. Its uncorrected formation energy is -0.36 eV per atom. For the energy above the most stable polymorph in this dataset, the calculation gives 0.89 eV per formula unit. The calculated volume is 101.8 Å³ per cell.